A relaxed structure of Cs2UPbBr6. Source: the Alexandria database, functional PBE.

## Properties
DOS at the Fermi energy = 7.87 states/eV per cell
space-group type = No. 59
formation energy from raw total energies = -1.250 eV per atom

Cell: 8.071 11.748 9.514 Å, 90.00 90.00 90.00°
Element x y z (fractional)
Cs: 0.250 0.016 0.198
Cs: 0.250 0.484 0.198
Cs: 0.750 0.516 0.802
Cs: 0.750 0.984 0.802
U: 0.250 0.750 0.773
U: 0.750 0.250 0.227
Pb: 0.250 0.250 0.718
Pb: 0.750 0.750 0.282
Br: 0.003 0.750 0.995
Br: 0.010 0.250 0.431
Br: 0.250 0.503 0.792
Br: 0.250 0.997 0.792
Br: 0.490 0.250 0.431
Br: 0.497 0.750 0.995
Br: 0.503 0.250 0.005
Br: 0.510 0.750 0.569
Br: 0.750 0.003 0.208
Br: 0.750 0.497 0.208
Br: 0.990 0.750 0.569
Br: 0.997 0.250 0.005